Here is crystalline EuGdTmAl at its relaxed geometry from the Alexandria database. Energies are from PBE.

Properties
Formation enthalpy at 0 K ... -0.02 eV per atom
Raw total energy ... -32.66 eV for the cell shown
SG ... F-43m (216)
M_tot ... 0.164 μB per formula unit

a = 5.3898 Å, b = 5.3898 Å, c = 5.3898 Å
α = 60.00°, β = 60.00°, γ = 60.00°
Last column: nearest neighbours and their distance in Å.
Element x y z (fractional)
Gd  0.5000  0.5000  0.5000  4 Eu 3.30, 4 Al 3.30
Eu  0.7500  0.7500  0.7500  4 Gd 3.30, 4 Tm 3.30
Al  0.2500  0.2500  0.2500  4 Tm 3.30, 4 Gd 3.30
Tm  0.0000  0.0000  0.0000  4 Al 3.30, 4 Eu 3.30